Below is a geometry-optimized Y2ZnN structure, with properties calculated at the PBE level.

Calculated values
Mass density: 5.4 g cm⁻³
Calculated total energy: -6.489 eV/atom
SG: No. 194

Cell lengths 3.5088, 3.5088, 14.8317 Å; angles 90.00, 90.00, 120.00 degrees
Last column: nearest neighbours and their distance in Å.
Sites, in units of the cell vectors:
Y1 0.3333 0.6667 0.0919  3 N 2.44
Y2 0.3333 0.6667 0.4081  3 N 2.44
Y3 0.6667 0.3333 0.5919  3 N 2.44
Y4 0.6667 0.3333 0.9081  3 N 2.44
Zn1 0.3333 0.6667 0.7500  6 Y 3.10
Zn2 0.6667 0.3333 0.2500  6 Y 3.10
N1 0.0000 0.0000 0.0000  6 Y 2.44
N2 0.0000 0.0000 0.5000  6 Y 2.44

---

Below is a geometry-optimized Y3ZnN2 structure, with properties calculated at the PBE level.

Calculated values
Mass density: 5.5 g cm⁻³
Calculated total energy: -7.366 eV/atom
SG: No. 194

Cell lengths 3.4773, 3.4773, 20.6453 Å; angles 90.00, 90.00, 120.00 degrees
Last column: nearest neighbours and their distance in Å.
Sites, in units of the cell vectors:
Y1 0.0000 0.0000 0.0000  6 N 2.48
Y2 0.0000 0.0000 0.5000  6 N 2.48
Y3 0.3333 0.6667 0.1336  3 N 2.39
Y4 0.3333 0.6667 0.3664  3 N 2.39
Y5 0.6667 0.3333 0.6336  3 N 2.39
Y6 0.6667 0.3333 0.8664  3 N 2.39
Zn1 0.0000 0.0000 0.2500  6 Y 3.13, 6 Zn 3.48
Zn2 0.0000 0.0000 0.7500  6 Y 3.13, 6 Zn 3.48
N1 0.3333 0.6667 0.5706  6 Y 2.39-2.48
N2 0.3333 0.6667 0.9294  6 Y 2.39-2.48
N3 0.6667 0.3333 0.0706  6 Y 2.39-2.48
N4 0.6667 0.3333 0.4294  6 Y 2.39-2.48

---

Below is a geometry-optimized Y4ZnN3 structure, with properties calculated at the PBE level.

Calculated values
Mass density: 5.6 g cm⁻³
Calculated total energy: -7.800 eV/atom
SG: No. 194

Cell lengths 3.4778, 3.4778, 26.2720 Å; angles 90.00, 90.00, 120.00 degrees
Last column: nearest neighbours and their distance in Å.
Sites, in units of the cell vectors:
Y1 0.0000 0.0000 0.1584  3 N 2.38
Y2 0.0000 0.0000 0.3416  3 N 2.38
Y3 0.0000 0.0000 0.6584  3 N 2.38
Y4 0.0000 0.0000 0.8416  3 N 2.38
Y5 0.3333 0.6667 0.0525  6 N 2.44-2.51
Y6 0.3333 0.6667 0.4475  6 N 2.44-2.51
Y7 0.6667 0.3333 0.5525  6 N 2.44-2.51
Y8 0.6667 0.3333 0.9475  6 N 2.44-2.51
Zn1 0.3333 0.6667 0.2500  6 Y 3.13, 6 Zn 3.48
Zn2 0.6667 0.3333 0.7500  6 Y 3.13, 6 Zn 3.48
N1 0.0000 0.0000 0.0000  6 Y 2.44
N2 0.0000 0.0000 0.5000  6 Y 2.44
N3 0.3333 0.6667 0.6099  6 Y 2.38-2.51
N4 0.3333 0.6667 0.8901  6 Y 2.38-2.51
N5 0.6667 0.3333 0.1099  6 Y 2.38-2.51
N6 0.6667 0.3333 0.3901  6 Y 2.38-2.51

---

Below is a geometry-optimized Y2ZnN structure, with properties calculated at the PBE level.

Calculated values
Mass density: 5.4 g cm⁻³
Calculated total energy: -6.496 eV/atom
SG: No. 15

Cell lengths 6.0720, 6.0720, 15.3358 Å; angles 101.33, 101.33, 59.27 degrees
Last column: nearest neighbours and their distance in Å.
Sites, in units of the cell vectors:
Y1 0.0266 0.8727 0.5976  3 N 2.43-2.52
Y2 0.1273 0.9734 0.9024  3 N 2.43-2.52
Y3 0.1949 0.3598 0.0874  3 N 2.38-2.46
Y4 0.3022 0.4735 0.4134  3 N 2.39-2.42
Y5 0.3598 0.1949 0.5874  3 N 2.38-2.46
Y6 0.4735 0.3022 0.9134  3 N 2.39-2.42
Y7 0.5265 0.6978 0.0866  3 N 2.39-2.42
Y8 0.6402 0.8051 0.4126  3 N 2.38-2.46
Y9 0.6978 0.5265 0.5866  3 N 2.39-2.42
Y10 0.8051 0.6402 0.9126  3 N 2.38-2.46
Y11 0.8727 0.0266 0.0976  3 N 2.43-2.52
Y12 0.9734 0.1273 0.4024  3 N 2.43-2.52
Zn1 0.0925 0.3111 0.7501  1 Zn 2.60
Zn2 0.3111 0.0925 0.2501  1 Zn 2.60
Zn3 0.3579 0.6421 0.2500  2 Zn 2.60
Zn4 0.6421 0.3579 0.7500  2 Zn 2.60
Zn5 0.6889 0.9075 0.7499  1 Zn 2.60
Zn6 0.9075 0.6889 0.2499  1 Zn 2.60
N1 0.0000 0.5000 0.5000  6 Y 2.39-2.52
N2 0.1606 0.6748 0.9984  6 Y 2.38-2.46
N3 0.3252 0.8394 0.5016  6 Y 2.38-2.46
N4 0.5000 0.0000 0.0000  6 Y 2.39-2.52
N5 0.6748 0.1606 0.4984  6 Y 2.38-2.46
N6 0.8394 0.3252 0.0016  6 Y 2.38-2.46

---

Below is a geometry-optimized Y2Zr4Zn3N3 structure, with properties calculated at the PBE level.

Calculated values
Mass density: 6.4 g cm⁻³
Calculated total energy: -7.326 eV/atom
SG: No. 15

Cell lengths 5.7389, 5.7389, 14.7004 Å; angles 101.47, 101.47, 60.06 degrees
Last column: nearest neighbours and their distance in Å.
Sites, in units of the cell vectors:
Y1 0.0381 0.8736 0.6113  3 N 2.48-2.50
Y2 0.1264 0.9619 0.8887  3 N 2.48-2.50
Y3 0.8736 0.0381 0.1113  3 N 2.48-2.50
Y4 0.9619 0.1264 0.3887  3 N 2.48-2.50
Zr1 0.1928 0.3557 0.0823  3 N 2.22-2.28
Zr2 0.2995 0.4796 0.4177  3 N 2.22-2.28
Zr3 0.3557 0.1928 0.5823  3 N 2.22-2.28
Zr4 0.4796 0.2995 0.9177  3 N 2.22-2.28
Zr5 0.5204 0.7005 0.0823  3 N 2.22-2.28
Zr6 0.6443 0.8072 0.4177  3 N 2.22-2.28
Zr7 0.7005 0.5204 0.5823  3 N 2.22-2.28
Zr8 0.8072 0.6443 0.9177  3 N 2.22-2.28
Zn1 0.0849 0.3958 0.7506  4 Zn 2.87-2.88, 4 Zr 2.91-2.92
Zn2 0.3958 0.0849 0.2506  4 Zn 2.87-2.88, 4 Zr 2.91-2.92
Zn3 0.4316 0.5684 0.2500  4 Zn 2.87-2.88, 4 Zr 2.92-2.93
Zn4 0.5684 0.4316 0.7500  4 Zn 2.87-2.88, 4 Zr 2.92-2.93
Zn5 0.6042 0.9151 0.7494  4 Zn 2.87-2.88, 4 Zr 2.91-2.92
Zn6 0.9151 0.6042 0.2494  4 Zn 2.87-2.88, 4 Zr 2.91-2.92
N1 0.0000 0.5000 0.5000  4 Zr 2.24, 2 Y 2.50
N2 0.1665 0.6670 0.0000  4 Zr 2.22-2.28, 2 Y 2.48
N3 0.3330 0.8335 0.5000  4 Zr 2.22-2.28, 2 Y 2.48
N4 0.5000 0.0000 0.0000  4 Zr 2.24, 2 Y 2.50
N5 0.6670 0.1665 0.5000  4 Zr 2.22-2.28, 2 Y 2.48
N6 0.8335 0.3330 0.0000  4 Zr 2.22-2.28, 2 Y 2.48

---

Below is a geometry-optimized Y3ZrN4 structure, with properties calculated at the PBE level.

Calculated values
Mass density: 6.2 g cm⁻³
Calculated total energy: -9.365 eV/atom
SG: No. 65

Cell lengths 5.8884, 5.8884, 3.3945 Å; angles 90.00, 90.00, 109.28 degrees
Last column: nearest neighbours and their distance in Å.
Sites, in units of the cell vectors:
Y1 0.0000 0.0000 0.0000  6 N 2.47-2.48
Y2 0.0000 0.5000 0.5000  6 N 2.40-2.41
Y3 0.5000 0.0000 0.5000  6 N 2.40-2.41
Zr1 0.5000 0.5000 0.0000  6 N 2.32-2.34
N1 0.2581 0.7419 0.0000  1 Zr 2.32, 5 Y 2.41-2.48
N2 0.2632 0.2632 0.5000  2 Zr 2.34, 4 Y 2.40-2.47
N3 0.7368 0.7368 0.5000  2 Zr 2.34, 4 Y 2.40-2.47
N4 0.7419 0.2581 0.0000  1 Zr 2.32, 5 Y 2.41-2.48

---

Below is a geometry-optimized YZrN2 structure, with properties calculated at the PBE level.

Calculated values
Mass density: 6.5 g cm⁻³
Calculated total energy: -9.580 eV/atom
SG: No. 123

Cell lengths 3.3528, 3.3528, 4.7206 Å; angles 90.00, 90.00, 90.00 degrees
Last column: nearest neighbours and their distance in Å.
Sites, in units of the cell vectors:
Y1 0.0000 0.0000 0.0000  6 N 2.36-2.37
Zr1 0.5000 0.5000 0.5000  6 N 2.36-2.37
N1 0.0000 0.0000 0.5000  2 Y 2.36, 4 Zr 2.37
N2 0.5000 0.5000 0.0000  2 Zr 2.36, 4 Y 2.37

---

Below is a geometry-optimized Zn2N structure, with properties calculated at the PBE level.

Calculated values
Mass density: 6.2 g cm⁻³
Calculated total energy: -2.184 eV/atom
SG: No. 227

Cell lengths 4.7948, 4.7948, 4.7948 Å; angles 60.00, 60.00, 60.00 degrees
Last column: nearest neighbours and their distance in Å.
Sites, in units of the cell vectors:
Zn1 0.0000 0.0000 0.0000  6 Zn 2.40
Zn2 0.0000 0.0000 0.5000  6 Zn 2.40
Zn3 0.0000 0.5000 0.0000  6 Zn 2.40
Zn4 0.5000 0.0000 0.0000  6 Zn 2.40
N1 0.3750 0.3750 0.3750  12 Zn 2.81, 4 N 2.94
N2 0.6250 0.6250 0.6250  12 Zn 2.81, 4 N 2.94